NaIrO: relaxed, PBE.

Unit cell a=3.5826 b=2.9300 c=15.4769 alpha=90.00 beta=90.00 gamma=90.00
Last column: nearest neighbours and their distance in Å.
Space group Amm2 (No. 38)
Unique sites:
1 Na 0.0000 0.0000 0.0000 (multiplicity 2)  4 O 2.32
2 Na 0.5000 0.0000 0.3584 (multiplicity 2)  5 O 2.28-2.43
3 Ir 0.0000 0.0000 0.2114 (multiplicity 2)  2 O 2.13
4 Ir 0.5000 0.0000 0.6327 (multiplicity 2)  1 O 1.97
5 O 0.0000 0.0000 0.8112 (multiplicity 2)  2 Ir 2.13
6 O 0.5000 0.0000 0.5056 (multiplicity 2)  1 Ir 1.97

Raw formation energy, meV/atom: -590.8
Fermi-level density of states, states/eV per cell: 7.6
Relative energy among the computed polymorphs, eV/atom: 0.140

---

Si2AsOs: relaxed, PBE.

Unit cell a=6.1864 b=6.1864 c=6.1864 alpha=90.00 beta=90.00 gamma=90.00
Last column: nearest neighbours and their distance in Å.
Space group F-43m (No. 216)
Unique sites:
1 Si 0.0000 0.0000 0.0000 (multiplicity 4)  4 Si 2.68, 4 Os 2.68
2 Si 0.2500 0.2500 0.2500 (multiplicity 4)  4 As 2.68, 4 Si 2.68
3 As 0.0000 0.0000 0.5000 (multiplicity 4)  4 Os 2.68, 4 Si 2.68
4 Os 0.2500 0.2500 0.7500 (multiplicity 4)  4 As 2.68, 4 Si 2.68

Raw formation energy, meV/atom: 405.0
Fermi-level density of states, states/eV per cell: 2.4

---

Ce2PaIr3: relaxed, PBE.

Unit cell a=6.9596 b=12.0607 c=6.9856 alpha=90.00 beta=109.40 gamma=90.00
Last column: nearest neighbours and their distance in Å.
Space group C2/m (No. 12)
Unique sites:
1 Ce 0.0000 0.0000 0.0000 (multiplicity 2)  6 Ir 2.85-2.86
2 Ce 0.0000 0.1671 0.5000 (multiplicity 4)  6 Ir 2.84-2.90
3 Ce 0.0000 0.5000 0.5000 (multiplicity 2)  6 Ir 2.83-2.90
4 Pa 0.0000 0.3336 0.0000 (multiplicity 4)  6 Ir 2.80
5 Ir 0.2414 0.5000 0.2444 (multiplicity 4)  2 Pa 2.80, 4 Ce 2.83-2.89
6 Ir 0.2493 0.3301 0.7580 (multiplicity 8)  2 Pa 2.80, 4 Ce 2.84-2.90

Fermi-level density of states, states/eV per cell: 19.9
E_form, eV/atom: -0.79

---

Ni2OsW: relaxed, PBE.

Unit cell a=2.6719 b=2.6719 c=25.8908 alpha=90.00 beta=90.00 gamma=120.00
Last column: nearest neighbours and their distance in Å.
Space group R-3m (No. 166, hexagonal axes)
Unique sites:
1 Ni 0.0000 0.0000 0.2483 (multiplicity 6)  3 Os 2.62, 6 Ni 2.67, 3 W 2.69
2 Os 0.0000 0.0000 0.5000 (multiplicity 3)  6 Ni 2.62, 6 Os 2.67
3 W 0.0000 0.0000 0.0000 (multiplicity 3)  6 W 2.67, 6 Ni 2.69

Fermi-level density of states, states/eV per cell: 13.8
Relative energy among the computed polymorphs, eV/atom: 0.235
E_form, eV/atom: 0.20

---

HfHgIrRh: relaxed, PBE.

Unit cell a=6.5006 b=6.5006 c=6.5006 alpha=90.00 beta=90.00 gamma=90.00
Last column: nearest neighbours and their distance in Å.
Space group F-43m (No. 216)
Unique sites:
1 Hf 0.0000 0.0000 0.0000 (multiplicity 4)  4 Ir 2.81, 4 Rh 2.81
2 Hg 0.0000 0.0000 0.5000 (multiplicity 4)  4 Rh 2.81, 4 Ir 2.81
3 Ir 0.2500 0.2500 0.7500 (multiplicity 4)  4 Hg 2.81, 4 Hf 2.81
4 Rh 0.2500 0.2500 0.2500 (multiplicity 4)  4 Hg 2.81, 4 Hf 2.81

Fermi-level density of states, states/eV per cell: 3.3
E_form, eV/atom: -0.46

---

NdTmGaPb: relaxed, PBE.

Unit cell a=7.5323 b=7.5323 c=7.5323 alpha=90.00 beta=90.00 gamma=90.00
Last column: nearest neighbours and their distance in Å.
Space group F-43m (No. 216)
Unique sites:
1 Nd 0.0000 0.0000 0.0000 (multiplicity 4)  4 Ga 3.26, 4 Pb 3.26
2 Tm 0.0000 0.0000 0.5000 (multiplicity 4)  4 Pb 3.26, 4 Ga 3.26
3 Ga 0.2500 0.2500 0.2500 (multiplicity 4)  4 Nd 3.26, 4 Tm 3.26
4 Pb 0.2500 0.2500 0.7500 (multiplicity 4)  4 Nd 3.26, 4 Tm 3.26

Fermi-level density of states, states/eV per cell: 10.9
E_form, eV/atom: -0.42

---

The highest Fermi-level density of states belongs to which entry?
Ce2PaIr3

---

Repeat the fourth record exactly.
Ni2OsW: relaxed, PBE.

Unit cell a=2.6719 b=2.6719 c=25.8908 alpha=90.00 beta=90.00 gamma=120.00
Last column: nearest neighbours and their distance in Å.
Space group R-3m (No. 166, hexagonal axes)
Unique sites:
1 Ni 0.0000 0.0000 0.2483 (multiplicity 6)  3 Os 2.62, 6 Ni 2.67, 3 W 2.69
2 Os 0.0000 0.0000 0.5000 (multiplicity 3)  6 Ni 2.62, 6 Os 2.67
3 W 0.0000 0.0000 0.0000 (multiplicity 3)  6 W 2.67, 6 Ni 2.69

Fermi-level density of states, states/eV per cell: 13.8
Relative energy among the computed polymorphs, eV/atom: 0.235
E_form, eV/atom: 0.20